No. 1
{"formula": "Pm2InBi", "functional": "PBE", "state": "relaxed", "lattice": [[5.539, 0.000, 0.000], [2.770, 4.797, 0.000], [2.770, 1.599, 4.523]], "species": ["In", "Bi", "Pm", "Pm"], "frac_coords": [[0.500, 0.500, 0.500], [0.000, 0.000, 0.000], [0.250, 0.250, 0.250], [0.750, 0.750, 0.750]], "formation_energy_ev_per_atom": -0.50, "e_above_lowest_polymorph_kj_per_mol_fu": 69}

No. 2
{"formula": "KCaSiAu2", "functional": "PBE", "state": "relaxed", "lattice": [[-1.687, -5.072, -0.146], [3.987, -1.432, 3.687], [-3.367, 1.004, 4.031]], "species": ["Si", "Ca", "Au", "Au", "K"], "frac_coords": [[0.500, 0.500, 0.500], [0.000, 0.500, 0.000], [0.000, 0.000, 0.500], [0.500, 0.000, 0.000], [0.000, 0.000, 0.000]], "raw_formation_energy_ev_per_atom": 1.105}

No. 3
{"formula": "Ba3Li3Tl8", "functional": "PBE", "state": "relaxed", "lattice": [[-1.298, 4.500, -2.656], [-8.924, -1.435, -3.527], [-7.626, 3.817, 4.737]], "species": ["Ba", "Ba", "Ba", "Li", "Li", "Li", "Tl", "Tl", "Tl", "Tl", "Tl", "Tl", "Tl", "Tl"], "frac_coords": [[0.286, 0.722, 0.705], [0.714, 0.278, 0.295], [0.000, 0.000, 0.000], [0.000, 0.500, 0.500], [0.659, 0.677, 0.005], [0.341, 0.323, 0.995], [0.143, 0.158, 0.556], [0.857, 0.842, 0.444], [0.856, 0.440, 0.847], [0.144, 0.560, 0.153], [0.509, 0.659, 0.324], [0.491, 0.341, 0.676], [0.357, 0.027, 0.259], [0.643, 0.973, 0.741]], "formation_energy_ev_per_atom": -0.29}

No. 4
{"formula": "AcPm8Tm2", "functional": "PBE", "state": "relaxed", "lattice": [[-2.957, 4.542, 1.491], [-4.473, -6.051, 7.296], [1.451, -3.056, 9.920]], "species": ["Ac", "Pm", "Pm", "Pm", "Pm", "Pm", "Pm", "Pm", "Pm", "Tm", "Tm"], "frac_coords": [[0.000, 0.000, 0.000], [0.271, 0.134, 0.592], [0.271, 0.592, 0.134], [0.729, 0.866, 0.408], [0.241, 0.545, 0.545], [0.729, 0.408, 0.866], [0.233, 0.190, 0.190], [0.767, 0.810, 0.810], [0.759, 0.455, 0.455], [0.751, 0.285, 0.285], [0.249, 0.715, 0.715]], "formation_energy_ev_per_atom": 0.12, "e_above_lowest_polymorph_kj_per_mol_fu": 96}

No. 5
{"formula": "Cr2AgAu", "functional": "PBE", "state": "relaxed", "lattice": [[4.900, -0.082, 0.000], [1.974, 4.486, 0.000], [-3.437, -2.202, 2.713]], "species": ["Ag", "Au", "Cr", "Cr"], "frac_coords": [[0.250, 0.750, 0.500], [0.750, 0.250, 0.500], [0.000, 0.000, 0.000], [0.500, 0.500, 0.000]], "formation_energy_ev_per_atom": 0.61, "e_above_lowest_polymorph_kj_per_mol_fu": 166}

No. 6
{"formula": "Nd3Er5Th2", "functional": "PBE", "state": "relaxed", "lattice": [[8.508, -1.242, -2.667], [-2.405, 8.185, -2.824], [-0.261, -0.118, 10.086]], "species": ["Nd", "Nd", "Nd", "Nd", "Nd", "Nd", "Er", "Er", "Er", "Er", "Er", "Er", "Er", "Er", "Er", "Er", "Th", "Th", "Th", "Th"], "frac_coords": [[0.276, 0.026, 0.052], [0.724, 0.974, 0.948], [0.524, 0.484, 0.255], [0.476, 0.516, 0.745], [0.231, 0.771, 0.255], [0.769, 0.229, 0.745], [0.222, 0.472, 0.944], [0.778, 0.528, 0.056], [0.967, 0.717, 0.434], [0.469, 0.219, 0.439], [0.033, 0.283, 0.566], [0.531, 0.781, 0.561], [0.861, 0.610, 0.724], [0.139, 0.390, 0.276], [0.363, 0.114, 0.724], [0.637, 0.886, 0.276], [0.983, 0.010, 0.741], [0.017, 0.990, 0.259], [0.258, 0.731, 0.741], [0.742, 0.269, 0.259]], "formation_energy_ev_per_atom": 0.21}

No. 7
{"formula": "ThGe2O8", "functional": "PBE", "state": "relaxed", "lattice": [[6.553, 0.000, 0.000], [0.000, 6.553, 0.000], [-3.277, -3.277, 5.038]], "species": ["Th", "Ge", "Ge", "O", "O", "O", "O", "O", "O", "O", "O"], "frac_coords": [[0.500, 0.500, 0.000], [0.750, 0.250, 0.500], [0.250, 0.750, 0.500], [0.643, 0.357, 0.287], [0.070, 0.356, 0.713], [0.643, 0.357, 0.713], [0.357, 0.070, 0.713], [0.644, 0.930, 0.287], [0.930, 0.643, 0.287], [0.357, 0.644, 0.287], [0.356, 0.643, 0.713]], "raw_formation_energy_ev_per_atom": -1.436}

No. 8
{"formula": "SmThHg5", "functional": "PBE", "state": "relaxed", "lattice": [[5.112, 0.000, 0.000], [0.000, 5.112, 0.000], [0.000, 0.000, 7.348]], "species": ["Sm", "Th", "Hg", "Hg", "Hg", "Hg", "Hg"], "frac_coords": [[0.500, 0.500, 0.000], [0.000, 0.000, 0.500], [0.000, 0.500, 0.767], [0.000, 0.500, 0.233], [0.500, 0.000, 0.767], [0.500, 0.000, 0.233], [0.500, 0.500, 0.500]], "formation_energy_ev_per_atom": -0.19}

| no. | total energy (eV per atom) | magnetic moment (μB per atom) | theoretical density (g cm⁻³) |
| --- | --- | --- | --- |
| 1 | -4.530 | 0.000 | 8.480 |
| 2 | -1.911 | 0.000 | 5.183 |
| 3 | -2.468 | 0.000 | 8.134 |
| 4 | -4.522 | 0.000 | 7.258 |
| 5 | -5.735 | 0.688 | 11.300 |
| 6 | -4.984 | 0.000 | 8.694 |
| 7 | -6.556 | 0.366 | 3.878 |
| 8 | -2.138 | 0.000 | 11.980 |